# 1
The following is a DFT calculation (PBE-GGA) of LaZr2Cl after structural relaxation.

Formation energy (no corrections): -19.7 kJ per mole of atoms
DOS(E_F): 4.9 states/eV/cell
Theoretical density: 5.64 g/cm3
Total magnetic moment: 0.0 μB per formula unit
V: 105 Å³/cell

POSCAR file:
```
LaZr2Cl
1.0
-1.211 6.189 0.860
-1.369 -0.682 2.979
4.381 0.552 2.200
Cl La Zr
1 1 2
direct
0.500 0.250 0.250
0.500 0.750 0.750
0.000 0.049 0.982
0.000 0.451 0.518
```

***

# 2
The following is a DFT calculation (PBE-GGA) of Tb2Mg5Zn4 after structural relaxation.

DOS(E_F): 7.3 states/eV/cell
Theoretical density: 4.68 g/cm3
Total magnetic moment: 0.0 μB per formula unit
DFT formation energy: -1.7 kcal/mol of atoms
V: 249 Å³/cell

POSCAR file:
```
Tb2Mg5Zn4
1.0
-4.917 -2.613 -2.302
-2.039 -5.506 2.722
-6.589 2.468 3.389
Tb Mg Zn
2 5 4
direct
0.853 0.000 0.294
0.147 0.000 0.706
0.500 0.000 0.000
0.000 0.500 0.000
0.500 0.500 0.000
0.250 0.500 0.500
0.750 0.500 0.500
0.542 0.222 0.694
0.458 0.778 0.306
0.236 0.222 0.306
0.764 0.778 0.694
```

***

# 3
The following is a DFT calculation (PBE-GGA) of DyHoMnAu after structural relaxation.

DOS(E_F): 5.4 states/eV/cell
Theoretical density: 10.57 g/cm3
Total magnetic moment: 3.5 μB per formula unit
DFT formation energy: -6.0 kcal/mol of atoms
V: 91 Å³/cell

POSCAR file:
```
DyHoMnAu
1.0
5.050 0.000 0.000
2.525 4.373 0.000
2.525 1.458 4.123
Mn Au Ho Dy
1 1 1 1
direct
0.250 0.250 0.250
0.750 0.750 0.750
0.500 0.500 0.500
0.000 0.000 0.000
```

***

# 4
The following is a DFT calculation (PBE-GGA) of CrHPd2Au after structural relaxation.

DOS(E_F): 3.2 states/eV/cell
DFT total energy: -5.316 eV per atom
Theoretical density: 11.54 g/cm3
Total magnetic moment: 4.2 μB per formula unit
V: 67 Å³/cell

POSCAR file:
```
CrHPd2Au
1.0
-2.023 1.093 -3.316
-1.954 -3.530 0.028
-2.935 1.643 2.332
Cr Au Pd H
1 1 2 1
direct
0.500 0.500 0.500
0.000 0.000 0.500
0.000 0.500 0.000
0.500 0.000 0.000
0.000 0.000 0.000
```

***

# 5
The following is a DFT calculation (PBE-GGA) of Co2Pb after structural relaxation.

DOS(E_F): 8.0 states/eV/cell
Theoretical density: 10.09 g/cm3
Total magnetic moment: 2.6 μB per formula unit
DFT formation energy: 6.4 kcal/mol of atoms
V: 107 Å³/cell

POSCAR file:
```
Co2Pb
1.0
1.740 -8.821 0.000
1.740 8.821 0.000
0.000 0.000 3.487
Co Pb
4 2
direct
0.548 0.452 0.750
0.953 0.047 0.750
0.047 0.953 0.250
0.452 0.548 0.250
0.327 0.673 0.750
0.673 0.327 0.250
```

***

# 6
The following is a DFT calculation (PBE-GGA) of Sr3LaAs3 after structural relaxation.

Theoretical density: 4.93 g/cm3
Total magnetic moment: 0.0 μB per formula unit
DFT formation energy: -29.1 kcal/mol of atoms
V: 844 Å³/cell

POSCAR file:
```
Sr3LaAs3
1.0
9.452 0.000 0.000
0.000 9.452 0.000
0.000 0.000 9.452
Sr La As
12 4 12
direct
0.815 0.315 0.185
0.937 0.937 0.937
0.818 0.682 0.318
0.185 0.815 0.315
0.182 0.182 0.182
0.318 0.818 0.682
0.063 0.437 0.563
0.315 0.185 0.815
0.682 0.318 0.818
0.685 0.685 0.685
0.563 0.063 0.437
0.437 0.563 0.063
0.062 0.562 0.938
0.938 0.062 0.562
0.438 0.438 0.438
0.562 0.938 0.062
0.758 0.629 0.999
0.871 0.001 0.258
0.999 0.758 0.629
0.129 0.501 0.242
0.242 0.129 0.501
0.258 0.871 0.001
0.001 0.258 0.871
0.371 0.499 0.742
0.501 0.242 0.129
0.629 0.999 0.758
0.742 0.371 0.499
0.499 0.742 0.371
```